## Li2HfIr (GGA-PBE)

Data for an optimized crystal structure of Li2HfIr.

Summary:
Crystal system: cubic
Energy above the lowest structure with this stoichiometry, eV per atom: 0.121
Final energy, eV per atom: -5.696
Magnetization, μB/atom: 0.000
Energy relative to the elements, kJ/mol of atoms: -3
Fermi-level density of states, states/eV per cell: 12.03

The structure in CIF format:
```
data_Li2HfIr
_symmetry_space_group_name_H-M 'F m -3 m'
_symmetry_Int_Tables_number 225
_symmetry_space_group_name_Hall '-F 4 2 3'
_cell_length_a 6.100
_cell_length_b 6.100
_cell_length_c 6.100
_cell_angle_alpha 90.00
_cell_angle_beta 90.00
_cell_angle_gamma 90.00
loop_
_atom_site_label
_atom_site_type_symbol
_atom_site_fract_x
_atom_site_fract_y
_atom_site_fract_z
Li1 Li 0.250 0.250 0.250
Hf1 Hf 0.000 0.000 0.000
Ir1 Ir 0.000 0.000 0.500
```